[1]
## Ni3BP (GGA-PBE)

Data for an optimized crystal structure of Ni3BP.

Polymorph energy (0 for the lowest one) = 0 meV per atom
SG = Pm-3m, No. 221

a = 3.823 Å, b = 3.823 Å, c = 3.823 Å
α = 90.00°, β = 90.00°, γ = 90.00°
Atoms (fractional coordinates):
Ni 0.000 0.000 0.500
Ni 0.000 0.500 0.000
Ni 0.500 0.000 0.000
B 0.000 0.000 0.000
P 0.500 0.500 0.500

***

[2]
## CdSi2Rh (GGA-PBE)

Data for an optimized crystal structure of CdSi2Rh.

Formation energy from raw total energies = 0.81 eV/f.u.
SG = C2/m, No. 12

a = 5.249 Å, b = 5.249 Å, c = 3.117 Å
α = 107.04°, β = 107.04°, γ = 115.48°
Atoms (fractional coordinates):
Cd 0.000 0.000 0.000
Si 0.000 0.500 0.000
Si 0.500 0.000 0.000
Rh 0.500 0.500 0.000

***

Final energy list, top to bottom, in eV/cell: -29.04 -18.31